LiZnSiIr | PBE-GGA | optimized geometry Values from VASP.

The structure in Quantum ESPRESSO input format:
```
&SYSTEM
  ibrav = 0, nat = 8, ntyp = 4
/
ATOMIC_SPECIES
Li 6.94 Li.upf
Zn 65.41 Zn.upf
Si 28.09 Si.upf
Ir 192.22 Ir.upf
CELL_PARAMETERS angstrom
4.240 0.000 0.000
-2.120 3.672 0.000
0.000 0.000 7.370
ATOMIC_POSITIONS crystal
Li 0.333 0.667 0.000
Li 0.667 0.333 0.500
Zn 0.000 0.000 0.343
Zn 0.000 0.000 0.843
Si 0.333 0.667 0.665
Si 0.667 0.333 0.165
Ir 0.333 0.667 0.335
Ir 0.667 0.333 0.835
```

## Properties
Calculated total energy = -4.6404 eV per atom
Space-group type = P6_3mc, No. 186

LiZnSiIr | PBE-GGA | optimized geometry Values from VASP.

The structure in Quantum ESPRESSO input format:
```
&SYSTEM
  ibrav = 0, nat = 8, ntyp = 4
/
ATOMIC_SPECIES
Li 6.94 Li.upf
Zn 65.41 Zn.upf
Si 28.09 Si.upf
Ir 192.22 Ir.upf
CELL_PARAMETERS angstrom
4.141 0.000 0.000
-2.071 3.586 0.000
0.000 0.000 7.524
ATOMIC_POSITIONS crystal
Li 0.000 0.000 0.169
Li 0.000 0.000 0.831
Zn 0.667 0.333 0.000
Zn 0.667 0.333 0.500
Si 0.000 0.000 0.500
Si 0.333 0.667 0.000
Ir 0.333 0.667 0.325
Ir 0.333 0.667 0.675
```

## Properties
Calculated total energy = -4.4843 eV per atom
Space-group type = P-6m2, No. 187

Li3Zn2Si2Ir | PBE-GGA | optimized geometry Values from VASP.

The structure in Quantum ESPRESSO input format:
```
&SYSTEM
  ibrav = 0, nat = 8, ntyp = 4
/
ATOMIC_SPECIES
Li 6.94 Li.upf
Zn 65.41 Zn.upf
Si 28.09 Si.upf
Ir 192.22 Ir.upf
CELL_PARAMETERS angstrom
4.160 0.000 0.000
-2.080 3.603 0.000
0.000 0.000 7.885
ATOMIC_POSITIONS crystal
Li 0.000 0.000 0.000
Li 0.000 0.000 0.316
Li 0.333 0.667 0.425
Zn 0.667 0.333 0.188
Zn 0.667 0.333 0.578
Si 0.000 0.000 0.700
Si 0.333 0.667 0.086
Ir 0.333 0.667 0.779
```

## Properties
Calculated total energy = -3.7422 eV per atom
Space-group type = P3m1, No. 156

Q: calculated total energy of number 1 (LiZnSiIr)?
A: -4.6404 eV per atom